The following is a GGA-PBE calculation of an optimized crystal structure of TbCe2Dy3Er6, from the Alexandria database.

```
12
Lattice="6.0963 -0.0001 0.0120 -3.0467 5.2804 0.0120 -1.0385 -1.7982 11.4574" Properties=species:S:1:pos:R:3 pbc="T T T"
Tb 0.0000 0.0000 0.0000
Ce 0.0031 3.5190 0.0120
Ce 3.0465 1.7613 0.0120
Dy -2.0469 3.5040 5.7406
Dy 4.0580 -0.0218 5.7406
Dy 1.0055 1.7411 5.7406
Er 3.0365 1.7184 8.6195
Er 2.0226 3.5020 2.8750
Er -1.0254 1.7638 2.8618
Er -0.0291 3.4889 8.6195
Er -0.0115 -0.0199 8.6062
Er 2.0402 -0.0067 2.8618
```

Computed properties:
Symmetry ... C2/m, No. 12

The following is a GGA-PBE calculation of an optimized crystal structure of Tb2CeDy5Er, from the Alexandria database.

```
18
Lattice="5.6810 0.0000 0.0000 -2.8405 10.7547 0.0000 0.0000 0.0000 9.5166" Properties=species:S:1:pos:R:3 pbc="T T T"
Tb 2.8405 8.3037 7.8218
Tb 0.0000 2.8612 6.7315
Tb 0.0000 2.4509 3.0635
Tb 2.8405 7.8935 1.9732
Ce 2.8405 6.6605 4.9360
Ce 0.0000 4.0941 0.1777
Dy 0.0000 8.4948 0.4303
Dy 2.8405 5.0037 7.9090
Dy 0.0000 10.1345 7.1104
Dy 0.0000 6.5821 6.7849
Dy 2.8405 10.4592 4.8631
Dy 2.8405 2.2599 5.1886
Dy 0.0000 5.7510 3.1507
Dy 2.8405 0.6202 2.3521
Dy 2.8405 4.1726 2.0266
Dy 0.0000 0.2955 0.1048
Er 2.8405 2.0896 8.8374
Er 0.0000 8.6651 4.0791
```

Computed properties:
Symmetry ... Cmc2_1, No. 36

Number 1: ΔH_f (0 K) 0.046 eV per atom, total DFT energy (no corrections) -0.175 hartree per atom. Number 2: ΔH_f (0 K) 0.168 eV per atom, total DFT energy (no corrections) -0.168 hartree per atom.